No. 1
The following is a GGA-PBE calculation of a relaxed structure of LiBeI2, from Alexandria via LeMat-Bulk.

Values from the calculation:
- Energy relative to the lowest polymorph listed for this composition: 0.000 eV/atom

a = 6.0320 Å, b = 6.0320 Å, c = 14.2913 Å
α = 90.00°, β = 90.00°, γ = 90.00°
Space group I-42d (No. 122)
Symmetry-distinct sites (fractional):
Li (0.0000, 0.0000, 0.0000) x4
Be (0.0000, 0.0000, 0.5000) x4
I (0.2197, 0.2500, 0.6250) x8

---

No. 2
The following is a GGA-PBE calculation of a relaxed structure of LiMgBeI2, from Alexandria via LeMat-Bulk.

a = 5.6939 Å, b = 5.6939 Å, c = 6.2813 Å
α = 90.00°, β = 90.00°, γ = 90.00°
Space group P4/mmm (No. 123)
Symmetry-distinct sites (fractional):
Li (0.0000, 0.0000, 0.0000) x1
Mg (0.0000, 0.0000, 0.5000) x1
Be (0.5000, 0.5000, 0.0000) x1
I (0.0000, 0.5000, 0.5000) x2

---

What did we get for DFT total energy? Answer: -37.67, -8.14 eV for the cell shown, in the order shown.